First-principles (PBE-GGA) data for crystalline K2LaAgPt at its relaxed geometry, as listed in Alexandria.

The structure in POSCAR format:
```
K2LaAgPt
1.0
6.590 0.000 0.000
0.000 5.414 0.000
0.000 0.000 6.590
K La Ag Pt
2 1 1 1
Cartesian
0.000 0.000 3.295
3.295 0.000 0.000
0.000 0.000 0.000
0.000 2.707 0.000
3.295 2.707 3.295
```

## Properties
Energy relative to the elements in eV per atom: 1.3070
Symmetry: P4/mmm, No. 123
Uncorrected energy in eV per cell: -9.480



First-principles (PBE-GGA) data for crystalline KRbLaAg2 at its relaxed geometry, as listed in Alexandria.

The structure in POSCAR format:
```
KRbLaAg2
1.0
-1.311 -0.216 -5.634
2.711 -5.002 -0.439
-4.922 -2.778 1.252
K Ag La Rb
1 2 1 1
Cartesian
0.000 0.000 0.000
-2.461 -1.389 0.626
-0.656 -0.108 -2.817
-1.761 -3.998 -2.410
1.356 -2.501 -0.219
```

## Properties
Energy relative to the elements in eV per atom: 0.7162
Symmetry: P4/mmm, No. 123
Uncorrected energy in eV per cell: -9.114



First-principles (PBE-GGA) data for crystalline KLa2AgS4 at its relaxed geometry, as listed in Alexandria.

The structure in POSCAR format:
```
KLa2AgS4
1.0
-3.282 -2.251 -1.469
4.782 -4.826 2.840
-6.580 1.120 12.984
S Ag La K
8 2 4 2
Cartesian
-2.165 -4.408 11.594
0.000 0.000 0.000
-6.034 -2.943 11.867
-0.937 -2.692 6.221
-4.142 -3.265 8.134
0.954 -3.014 2.488
-2.914 -1.549 2.761
-3.290 0.560 6.492
-0.636 -1.632 3.923
-4.444 -4.325 10.433
-1.402 -3.745 8.872
-3.848 -3.328 13.700
-1.231 -2.629 0.655
-3.678 -2.213 5.483
-4.227 -0.501 10.212
-0.852 -5.457 4.143
```

## Properties
Uncorrected formation energy in meV/atom: -1671
Symmetry: Cmcm, No. 63
Uncorrected energy in eV per cell: -87.356



First-principles (PBE-GGA) data for crystalline KLa2AgSe4 at its relaxed geometry, as listed in Alexandria.

The structure in POSCAR format:
```
KLa2AgSe4
1.0
-3.364 0.795 2.697
5.400 -3.406 4.178
5.920 13.546 3.390
Se La K Ag
8 4 2 2
Cartesian
2.960 6.773 1.695
2.617 -0.134 3.305
7.754 7.478 7.468
4.297 3.708 4.267
5.338 11.070 6.960
3.659 7.227 5.998
0.000 0.000 0.000
0.202 3.457 2.797
8.264 10.445 7.229
1.874 5.484 4.285
6.082 5.452 5.979
-0.308 0.490 3.036
5.308 9.457 3.832
2.648 1.478 6.433
2.653 2.438 2.591
5.303 8.498 7.674
```

## Properties
Uncorrected formation energy in meV/atom: -1585
Symmetry: Cmcm, No. 63
Uncorrected energy in eV per cell: -80.840



First-principles (PBE-GGA) data for crystalline K2LaSiAg at its relaxed geometry, as listed in Alexandria.

The structure in POSCAR format:
```
K2LaSiAg
1.0
6.886 0.000 0.000
0.000 5.469 0.000
0.000 0.000 6.886
Si La Ag K
1 1 1 2
Cartesian
3.443 2.734 3.443
0.000 0.000 0.000
0.000 2.734 0.000
3.443 0.000 0.000
0.000 0.000 3.443
```

## Properties
Uncorrected formation energy in meV/atom: 1258
Symmetry: P4/mmm, No. 123
Uncorrected energy in eV per cell: -9.105



First-principles (PBE-GGA) data for crystalline KLaZnAg2 at its relaxed geometry, as listed in Alexandria.

The structure in POSCAR format:
```
KLaZnAg2
1.0
-0.796 5.024 -0.299
-3.707 -0.812 -3.777
-3.590 -0.355 3.599
K Zn La Ag
1 1 1 2
Cartesian
-1.853 -0.406 -1.888
0.000 0.000 0.000
-4.046 1.929 -0.238
-1.795 -0.177 1.800
-0.398 2.512 -0.150
```

## Properties
Energy relative to the elements in eV per atom: 0.3337
Symmetry: P4/mmm, No. 123
Uncorrected energy in eV per cell: -11.333



Which formula does entry 4 have?
KLa2AgSe4